1.
The following is a DFT calculation (PBE) of a geometry-optimized CoGeB4 structure.

```
CoGeB4
1.0
3.0496 0.0000 0.0000
-1.5248 2.6410 0.0000
0.0000 0.0000 6.5467
Co Ge B
1 1 4
direct
0.0000 0.0000 0.0000 Co
0.0000 0.0000 0.5000 Ge
0.3333 0.6667 0.2108 B
0.3333 0.6667 0.7892 B
0.6667 0.3333 0.2108 B
0.6667 0.3333 0.7892 B
```

Computed properties:
E, eV/atom: -6.1249
Relative energy among the computed polymorphs, eV/atom: 0.0000
Magnetization, μB per formula unit: 0.00

2.
The following is a DFT calculation (PBE) of a geometry-optimized Co6Ge2B structure.

```
Co6Ge2B
1.0
6.3939 0.0000 0.0000
-3.1969 5.5373 0.0000
0.0000 0.0000 2.7510
Co Ge B
6 2 1
direct
0.0000 0.2371 0.0000 Co
0.0000 0.6173 0.5000 Co
0.2371 0.0000 0.0000 Co
0.3827 0.3827 0.5000 Co
0.6173 0.0000 0.5000 Co
0.7629 0.7629 0.0000 Co
0.3333 0.6667 0.0000 Ge
0.6667 0.3333 0.0000 Ge
0.0000 0.0000 0.5000 B
```

Computed properties:
E, eV/atom: -6.6458
Magnetization, μB per formula unit: 5.66